i | DFT (PBE) results for crystalline BaLi2Cd9 at its relaxed geometry.

Lattice parameters (Å, degrees): 12.025 12.025 7.739 90.00 90.00 90.00
Space group I4_1/amd (No. 141, origin choice 2)
Symmetry-distinct sites (fractional):
Ba 0.000 0.250 0.375 [4 per cell]
Li 0.000 0.000 0.000 [8 per cell]
Cd 0.000 0.250 0.875 [4 per cell]
Cd 0.121 0.046 0.686 [32 per cell]

Properties
- Size of the total moment: 0.00 μB per cell
- Volume: 1119.2 Å³/cell

***

ii | DFT (PBE) results for crystalline BaLi2Cd9 at its relaxed geometry.

Lattice parameters (Å, degrees): 8.8702 8.8702 4.2535 90.00 90.00 120.00
Space group P6/mmm (No. 191)
Symmetry-distinct sites (fractional):
Ba 0.0000 0.0000 0.0000 [1 per cell]
Li 0.3333 0.6667 0.0000 [2 per cell]
Cd 0.0000 0.5000 0.0000 [3 per cell]
Cd 0.2038 0.4077 0.5000 [6 per cell]

Properties
- Size of the total moment: 0.00 μB per cell
- Volume: 289.8 Å³/cell

***

Energies relative to the minimum, meV/atom: i 0; ii 92

***

i | DFT (PBE) results for crystalline BaLi4Cd at its relaxed geometry.

Lattice parameters (Å, degrees): 5.281 8.372 8.382 61.39 80.86 80.88
Space group P-1 (No. 2)
Symmetry-distinct sites (fractional):
Ba 0.250 0.192 0.309 [2 per cell]
Li 0.061 0.117 0.798 [2 per cell]
Li 0.226 0.689 0.039 [2 per cell]
Li 0.274 0.460 0.811 [2 per cell]
Li 0.439 0.702 0.383 [2 per cell]
Cd 0.000 0.500 0.500 [1 per cell]
Cd 0.500 0.000 0.000 [1 per cell]

Properties
- Size of the total moment: 0.00 μB per cell
- Volume: 319.8 Å³/cell

***

ii | DFT (PBE) results for crystalline BaLi4Cd at its relaxed geometry.

Lattice parameters (Å, degrees): 5.206 5.206 7.763 90.31 90.05 90.00
Space group P-1 (No. 2)
Symmetry-distinct sites (fractional):
Ba 0.000 0.000 0.000 [1 per cell]
Li 0.000 0.500 0.500 [1 per cell]
Li 0.500 0.000 0.500 [1 per cell]
Li 0.500 0.499 0.827 [2 per cell]
Cd 0.500 0.500 0.500 [1 per cell]

Properties
- Size of the total moment: 0.00 μB per cell
- Volume: 210.4 Å³/cell

***

Energies relative to the minimum, meV/atom: i 0; ii 225

***

i | DFT (PBE) results for crystalline BaLiCd2 at its relaxed geometry.

Lattice parameters (Å, degrees): 4.632 11.817 8.387 90.00 90.00 90.00
Space group Cmcm (No. 63)
Symmetry-distinct sites (fractional):
Ba 0.000 0.046 0.250 [4 per cell]
Li 0.000 0.232 0.750 [4 per cell]
Cd 0.000 0.331 0.061 [8 per cell]

Properties
- Size of the total moment: 0.00 μB per cell
- Volume: 459.0 Å³/cell

***

ii | DFT (PBE) results for crystalline BaLiCd2 at its relaxed geometry.

Lattice parameters (Å, degrees): 5.332 5.332 4.555 90.00 90.00 90.00
Space group P4/mmm (No. 123)
Symmetry-distinct sites (fractional):
Ba 0.000 0.000 0.000 [1 per cell]
Li 0.500 0.500 0.000 [1 per cell]
Cd 0.000 0.500 0.500 [2 per cell]

Properties
- Size of the total moment: 0.00 μB per cell
- Volume: 129.5 Å³/cell

***

Energies relative to the minimum, meV/atom: i 0; ii 181

***

i | DFT (PBE) results for crystalline BaLiCd2 at its relaxed geometry.

Lattice parameters (Å, degrees): 3.804 4.933 6.604 90.00 91.07 90.00
Space group Pm (No. 6)
Symmetry-distinct sites (fractional):
Ba 0.000 0.000 0.000 [1 per cell]
Li 0.024 0.500 0.583 [1 per cell]
Cd 0.505 0.000 0.514 [1 per cell]
Cd 0.510 0.500 0.261 [1 per cell]

Properties
- Size of the total moment: 0.00 μB per cell
- Volume: 123.9 Å³/cell

***

ii | DFT (PBE) results for crystalline BaLiCd2 at its relaxed geometry.

Lattice parameters (Å, degrees): 8.537 4.917 6.546 90.00 115.67 90.00
Space group Cm (No. 8)
Symmetry-distinct sites (fractional):
Ba 0.000 0.000 0.000 [2 per cell]
Li 0.193 0.000 0.579 [2 per cell]
Cd 0.017 0.500 0.551 [2 per cell]
Cd 0.301 0.500 0.402 [2 per cell]

Properties
- Size of the total moment: 0.00 μB per cell
- Volume: 247.7 Å³/cell

***

iii | DFT (PBE) results for crystalline BaLiCd2 at its relaxed geometry.

Lattice parameters (Å, degrees): 17.577 8.252 6.276 90.00 90.00 90.00
Space group Pnma (No. 62)
Symmetry-distinct sites (fractional):
Ba 0.107 0.250 0.239 [4 per cell]
Ba 0.134 0.750 0.037 [4 per cell]
Li 0.070 0.750 0.525 [4 per cell]
Li 0.192 0.250 0.770 [4 per cell]
Cd 0.043 0.063 0.719 [8 per cell]
Cd 0.210 0.560 0.561 [8 per cell]

Properties
- Size of the total moment: 0.00 μB per cell
- Volume: 910.3 Å³/cell

***

iv | DFT (PBE) results for crystalline BaLiCd2 at its relaxed geometry.

Lattice parameters (Å, degrees): 3.841 3.732 7.987 90.00 90.31 90.00
Space group P2/m (No. 10)
Symmetry-distinct sites (fractional):
Ba 0.000 0.000 0.000 [1 per cell]
Li 0.000 0.000 0.500 [1 per cell]
Cd 0.500 0.500 0.314 [2 per cell]

Properties
- Size of the total moment: 0.00 μB per cell
- Volume: 114.5 Å³/cell

***

Energies relative to the minimum, meV/atom: i 96; ii 18; iii 0; iv 48

***

i | DFT (PBE) results for crystalline BaLiCd3 at its relaxed geometry.

Lattice parameters (Å, degrees): 7.033 10.375 7.885 90.00 90.00 90.00
Space group Imma (No. 74)
Symmetry-distinct sites (fractional):
Ba 0.000 0.250 0.082 [4 per cell]
Li 0.000 0.000 0.500 [4 per cell]
Cd 0.000 0.250 0.579 [4 per cell]
Cd 0.250 0.048 0.750 [8 per cell]

Properties
- Size of the total moment: 0.00 μB per cell
- Volume: 575.3 Å³/cell

***

ii | DFT (PBE) results for crystalline BaLiCd3 at its relaxed geometry.

Lattice parameters (Å, degrees): 5.221 5.221 5.221 90.00 90.00 90.00
Space group Pm-3m (No. 221)
Symmetry-distinct sites (fractional):
Ba 0.000 0.000 0.000 [1 per cell]
Li 0.500 0.500 0.500 [1 per cell]
Cd 0.000 0.500 0.500 [3 per cell]

Properties
- Size of the total moment: 0.00 μB per cell
- Volume: 142.3 Å³/cell

***

Energies relative to the minimum, meV/atom: i 0; ii 36

***

i | DFT (PBE) results for crystalline BaLiCd3 at its relaxed geometry.

Lattice parameters (Å, degrees): 7.3350 7.3350 6.0308 90.00 90.00 120.00
Space group P6_3/mmc (No. 194)
Symmetry-distinct sites (fractional):
Ba 0.3333 0.6667 0.2500 [2 per cell]
Li 0.0000 0.0000 0.0000 [2 per cell]
Cd 0.1881 0.3762 0.7500 [6 per cell]

Properties
- Size of the total moment: 0.00 μB per cell
- Volume: 281.0 Å³/cell

***

ii | DFT (PBE) results for crystalline BaLiCd3 at its relaxed geometry.

Lattice parameters (Å, degrees): 6.506 6.506 6.506 90.00 90.00 90.00
Space group Pm-3m (No. 221)
Symmetry-distinct sites (fractional):
Ba 0.000 0.000 0.000 [1 per cell]
Li 0.500 0.500 0.500 [1 per cell]
Cd 0.000 0.000 0.500 [3 per cell]

Properties
- Size of the total moment: 0.00 μB per cell
- Volume: 275.4 Å³/cell

***

Energies relative to the minimum, meV/atom: i 0; ii 774

***

i | DFT (PBE) results for crystalline BaLiCd4 at its relaxed geometry.

Lattice parameters (Å, degrees): 4.957 4.957 7.485 90.00 90.00 90.00
Space group P4/mmm (No. 123)
Symmetry-distinct sites (fractional):
Ba 0.000 0.000 0.000 [1 per cell]
Li 0.500 0.500 0.500 [1 per cell]
Cd 0.000 0.500 0.500 [2 per cell]
Cd 0.500 0.500 0.183 [2 per cell]

Properties
- Size of the total moment: 0.00 μB per cell
- Volume: 183.9 Å³/cell

***

ii | DFT (PBE) results for crystalline BaLiCd4 at its relaxed geometry.

Lattice parameters (Å, degrees): 8.675 8.675 8.675 90.00 90.00 90.00
Space group F-43m (No. 216)
Symmetry-distinct sites (fractional):
Ba 0.000 0.000 0.000 [4 per cell]
Li 0.250 0.250 0.250 [4 per cell]
Cd 0.124 0.124 0.624 [16 per cell]

Properties
- Size of the total moment: 0.00 μB per cell
- Volume: 652.8 Å³/cell

***

Energies relative to the minimum, meV/atom: i 228; ii 0

***

i | DFT (PBE) results for crystalline BaLi2Cd2 at its relaxed geometry.

Lattice parameters (Å, degrees): 8.694 8.694 3.670 90.00 90.00 90.00
Space group P4/mbm (No. 127)
Symmetry-distinct sites (fractional):
Ba 0.000 0.000 0.000 [2 per cell]
Li 0.163 0.337 0.500 [4 per cell]
Cd 0.121 0.621 0.000 [4 per cell]

Properties
- Size of the total moment: 0.00 μB per cell
- Volume: 277.4 Å³/cell

***

ii | DFT (PBE) results for crystalline BaLi2Cd2 at its relaxed geometry.

Lattice parameters (Å, degrees): 8.555 8.555 3.550 90.00 90.00 90.00
Space group P4/mbm (No. 127)
Symmetry-distinct sites (fractional):
Ba 0.000 0.000 0.000 [2 per cell]
Li 0.121 0.379 0.000 [4 per cell]
Cd 0.161 0.661 0.500 [4 per cell]

Properties
- Size of the total moment: 0.00 μB per cell
- Volume: 259.9 Å³/cell

***

iii | DFT (PBE) results for crystalline BaLi2Cd2 at its relaxed geometry.

Lattice parameters (Å, degrees): 4.618 4.618 13.464 90.00 90.00 90.00
Space group I4/mmm (No. 139)
Symmetry-distinct sites (fractional):
Ba 0.000 0.000 0.000 [2 per cell]
Li 0.000 0.500 0.250 [4 per cell]
Cd 0.000 0.000 0.380 [4 per cell]

Properties
- Size of the total moment: 0.00 μB per cell
- Volume: 287.1 Å³/cell

***

Energies relative to the minimum, meV/atom: i 99; ii 35; iii 0